Tb6Nd8Ho: relaxed, PBE.

Lattice parameters (Å, degrees): 8.7700 8.7700 8.7700 63.12 63.12 63.12
Closest atoms and distances in Å follow each position.
Element x y z (fractional)
Tb: 0.0397 0.5971 0.7454  3 Nd 3.39-3.47, 1 Ho 3.51, 4 Tb 3.58-3.79
Tb: 0.2546 0.9603 0.4029  3 Nd 3.39-3.47, 1 Ho 3.51, 4 Tb 3.58-3.79
Tb: 0.4029 0.2546 0.9603  3 Nd 3.39-3.47, 1 Ho 3.51, 4 Tb 3.58-3.79
Tb: 0.5971 0.7454 0.0397  3 Nd 3.39-3.47, 1 Ho 3.51, 4 Tb 3.58-3.79
Tb: 0.7454 0.0397 0.5971  3 Nd 3.39-3.47, 1 Ho 3.51, 4 Tb 3.58-3.79
Tb: 0.9603 0.4029 0.2546  3 Nd 3.39-3.47, 1 Ho 3.51, 4 Tb 3.58-3.79
Nd: 0.0779 0.0779 0.0779  4 Nd 3.27-3.47, 3 Tb 3.39
Nd: 0.2171 0.6126 0.2507  3 Tb 3.45-3.85, 5 Nd 3.47-3.49, 1 Ho 3.56
Nd: 0.2507 0.2171 0.6126  3 Tb 3.45-3.85, 5 Nd 3.47-3.49, 1 Ho 3.56
Nd: 0.3874 0.7493 0.7829  3 Tb 3.45-3.85, 5 Nd 3.47-3.49, 1 Ho 3.56
Nd: 0.6126 0.2507 0.2171  3 Tb 3.45-3.85, 5 Nd 3.47-3.49, 1 Ho 3.56
Nd: 0.7493 0.7829 0.3874  3 Tb 3.45-3.85, 5 Nd 3.47-3.49, 1 Ho 3.56
Nd: 0.7829 0.3874 0.7493  3 Tb 3.45-3.85, 5 Nd 3.47-3.49, 1 Ho 3.56
Nd: 0.9221 0.9221 0.9221  4 Nd 3.27-3.47, 3 Tb 3.39
Ho: 0.5000 0.5000 0.5000  6 Tb 3.51, 6 Nd 3.56

Results
magnetic moment = 0.00 μB/f.u.
offset from the most stable computed form = 0.000 eV/atom
energy of formation = 0.12 eV/atom
electronic total energy = -4.58 eV per atom